A relaxed structure of Zn4Ir, computed with PBE.

Unit cell a=3.3767 b=3.3767 c=13.4896 alpha=90.00 beta=90.00 gamma=90.00
Space group I4/mmm (No. 139)
One atom of each set of equivalent atoms:
Zn 0.0000 0.0000 0.0934 (multiplicity 4)
Zn 0.0000 0.5000 0.2500 (multiplicity 4)
Ir 0.0000 0.0000 0.5000 (multiplicity 2)

## Properties
Mass density in g/cm³: 9.8
DFT formation energy in kJ/mol of atoms: 17.50

---

A relaxed structure of VPtI, computed with PBE.

Unit cell a=3.9454 b=3.9794 c=18.2647 alpha=90.00 beta=90.00 gamma=90.00
Space group Amm2 (No. 38)
One atom of each set of equivalent atoms:
V 0.0000 0.0000 0.0000 (multiplicity 2)
V 0.0000 0.0000 0.4133 (multiplicity 2)
Pt 0.5000 0.0000 0.5040 (multiplicity 2)
Pt 0.5000 0.0000 0.9066 (multiplicity 2)
I 0.0000 0.0000 0.7946 (multiplicity 2)
I 0.5000 0.0000 0.1152 (multiplicity 2)

## Properties
Energy above the most stable polymorph in this dataset in eV/atom: 0.0698
Formation energy (no corrections) in eV/atom: -0.179
Mass density in g/cm³: 8.6

---

no.,Fermi-level density of states (states/eV/atom)
1,0.403
2,1.029